(1)
Below is an optimized crystal structure of RuAuCl2, with properties calculated at the PBE-GGA level.

Output
- volume (A^3/atom) = 21.76
- spin magnetization (μB per cell) = 0.00
- E above lowest polymorph (eV per formula unit) = 0.67
- ΔE_f (raw) (eV/atom) = 0.213

Lattice parameters (Å, degrees): 3.092 3.092 10.974 90.00 90.00 123.93
Atoms (fractional coordinates):
Ru 0.000 0.000 0.000
Au 0.000 0.000 0.500
Cl 0.500 0.500 0.169
Cl 0.500 0.500 0.831

=====

(2)
Below is an optimized crystal structure of Ac3PuN, with properties calculated at the PBE-GGA level.

Output
- volume (A^3/atom) = 31.75
- spin magnetization (μB per cell) = 7.16
- ΔE_f (raw) (eV/atom) = -0.228

Lattice parameters (Å, degrees): 5.415 5.415 5.415 90.00 90.00 90.00
Atoms (fractional coordinates):
Ac 0.000 0.000 0.500
Ac 0.000 0.500 0.000
Ac 0.500 0.000 0.000
Pu 0.500 0.500 0.500
N 0.000 0.000 0.000

=====

(3)
Below is an optimized crystal structure of Be3FeCl, with properties calculated at the PBE-GGA level.

Output
- volume (A^3/atom) = 15.14
- spin magnetization (μB per cell) = 1.73
- E above lowest polymorph (eV per formula unit) = 0.00
- ΔE_f (raw) (eV/atom) = 1.101

Lattice parameters (Å, degrees): 4.230 4.230 4.230 90.00 90.00 90.00
Atoms (fractional coordinates):
Be 0.000 0.000 0.500
Be 0.000 0.500 0.000
Be 0.500 0.000 0.000
Fe 0.000 0.000 0.000
Cl 0.500 0.500 0.500

=====

(4)
Below is an optimized crystal structure of GdTmIn, with properties calculated at the PBE-GGA level.

Output
- volume (A^3/atom) = 28.59
- spin magnetization (μB per cell) = 7.79
- E above lowest polymorph (eV per formula unit) = 0.00

Lattice parameters (Å, degrees): 7.087 7.087 7.087 150.57 150.57 42.11
Atoms (fractional coordinates):
Gd 0.000 0.000 0.000
Tm 0.313 0.313 0.000
In 0.661 0.661 0.000

=====

(5)
Below is an optimized crystal structure of AlAgGe, with properties calculated at the PBE-GGA level.

Output
- volume (A^3/atom) = 18.23
- energy (eV/f.u.) = -10.75
- spin magnetization (μB per cell) = 0.00

Lattice parameters (Å, degrees): 3.117 5.666 6.374 90.16 103.74 90.00
Atoms (fractional coordinates):
Al 0.158 0.000 0.315
Al 0.842 0.000 0.685
Ag 0.499 0.755 0.997
Ag 0.501 0.245 0.003
Ge 0.160 0.502 0.318
Ge 0.840 0.498 0.682

=====

(6)
Below is an optimized crystal structure of La2NdFe, with properties calculated at the PBE-GGA level.

Output
- volume (A^3/atom) = 30.57
- spin magnetization (μB per cell) = 0.00
- E above lowest polymorph (eV per formula unit) = 0.48

Lattice parameters (Å, degrees): 9.748 9.748 9.748 22.82 22.82 22.82
Atoms (fractional coordinates):
La 0.222 0.222 0.222
La 0.778 0.778 0.778
Nd 0.000 0.000 0.000
Fe 0.500 0.500 0.500

=====

(7)
Below is an optimized crystal structure of LiZn5, with properties calculated at the PBE-GGA level.

Output
- volume (A^3/atom) = 14.75
- spin magnetization (μB per cell) = 0.00
- E above lowest polymorph (eV per formula unit) = 0.13

Lattice parameters (Å, degrees): 5.885 5.885 3.997 90.00 90.00 140.28
Atoms (fractional coordinates):
Li 0.000 0.000 0.000
Zn 0.164 0.836 0.500
Zn 0.332 0.668 0.000
Zn 0.500 0.500 0.500
Zn 0.668 0.332 0.000
Zn 0.836 0.164 0.500

=====

(8)
Below is an optimized crystal structure of RbLiNi3, with properties calculated at the PBE-GGA level.

Output
- volume (A^3/atom) = 21.65
- spin magnetization (μB per cell) = 0.00
- E above lowest polymorph (eV per formula unit) = 4.37

Lattice parameters (Å, degrees): 4.766 4.766 4.766 90.00 90.00 90.00
Atoms (fractional coordinates):
Rb 0.000 0.000 0.000
Li 0.500 0.500 0.500
Ni 0.000 0.000 0.500
Ni 0.000 0.500 0.000
Ni 0.500 0.000 0.000

=====

- Number 2 is which compound?
  Ac3PuN